LaNdThIn (PBE, relaxed); energy of formation from the pure elements = -0.05 eV/atom; DOS at the Fermi energy = 27.9 states/eV/cell
1.0
7.9499 0.0000 0.0000
0.0000 7.9499 0.0000
0.0000 0.0000 7.9499
La Nd Th In
4 4 4 4
Direct
0.0000 0.0000 0.0000 La
0.0000 0.5000 0.5000 La
0.5000 0.0000 0.5000 La
0.5000 0.5000 0.0000 La
0.0000 0.0000 0.5000 Nd
0.0000 0.5000 0.0000 Nd
0.5000 0.0000 0.0000 Nd
0.5000 0.5000 0.5000 Nd
0.2500 0.2500 0.7500 Th
0.2500 0.7500 0.2500 Th
0.7500 0.2500 0.2500 Th
0.7500 0.7500 0.7500 Th
0.2500 0.2500 0.2500 In
0.2500 0.7500 0.7500 In
0.7500 0.2500 0.7500 In
0.7500 0.7500 0.2500 In